1.
AcYAl3: relaxed, PBE.

## Properties
Mass density ... 4893 kg/m³
Fermi-level density of states ... 3.86 states/eV/f.u.
Energy relative to the elements ... -0.39 eV per atom

a b c (Å): 13.5979 13.5979 4.4119
angles (deg): 90.00 90.00 160.72
Sites, in units of the cell vectors:
1 Ac 0.0755 0.9245 0.7500
2 Ac 0.9245 0.0755 0.2500
3 Y 0.2048 0.7952 0.2500
4 Y 0.7952 0.2048 0.7500
5 Al 0.3217 0.6783 0.2500
6 Al 0.3764 0.6236 0.7500
7 Al 0.4752 0.5248 0.7500
8 Al 0.5248 0.4752 0.2500
9 Al 0.6236 0.3764 0.2500
10 Al 0.6783 0.3217 0.7500

***

2.
LaAgN2F: relaxed, PBE.

## Properties
Mass density ... 5340 kg/m³
Fermi-level density of states ... 2.70 states/eV/f.u.
E_form (uncorrected) ... 0.08 eV/atom

a b c (Å): 4.4171 4.4171 4.6826
angles (deg): 90.00 90.00 90.00
Sites, in units of the cell vectors:
1 La 0.0000 0.0000 0.0000
2 Ag 0.5000 0.5000 0.5000
3 N 0.0000 0.5000 0.0000
4 N 0.5000 0.0000 0.0000
5 F 0.0000 0.0000 0.5000

***

3.
Sc2HS: relaxed, PBE.

## Properties
Mass density ... 3528 kg/m³
Fermi-level density of states ... 3.83 states/eV/f.u.
Calculated total energy ... -5.71 eV/atom

a b c (Å): 4.3421 4.3421 4.3421
angles (deg): 60.00 60.00 60.00
Sites, in units of the cell vectors:
1 Sc 0.2500 0.2500 0.2500
2 Sc 0.7500 0.7500 0.7500
3 H 0.0000 0.0000 0.0000
4 S 0.5000 0.5000 0.5000

***

4.
Na2PaSnSe5: relaxed, PBE.

## Properties
Mass density ... 5011 kg/m³
Fermi-level density of states ... 3.92 states/eV/f.u.
E_form (uncorrected) ... -0.97 eV/atom

a b c (Å): 9.0640 9.0640 13.9574
angles (deg): 90.00 90.00 152.81
Sites, in units of the cell vectors:
1 Na 0.0869 0.9131 0.5000
2 Na 0.1205 0.8795 0.1525
3 Na 0.8795 0.1205 0.6525
4 Na 0.9131 0.0869 0.0000
5 Pa 0.2341 0.7659 0.8728
6 Pa 0.7659 0.2341 0.3728
7 Sn 0.4551 0.5449 0.2758
8 Sn 0.5449 0.4551 0.7758
9 Se 0.0722 0.9278 0.8989
10 Se 0.2635 0.7365 0.5029
11 Se 0.2920 0.7080 0.2413
12 Se 0.3827 0.6173 0.8367
13 Se 0.4963 0.5037 0.5997
14 Se 0.5037 0.4963 0.0997
15 Se 0.6173 0.3827 0.3367
16 Se 0.7080 0.2920 0.7413
17 Se 0.7365 0.2635 0.0029
18 Se 0.9278 0.0722 0.3989

***

5.
TiMn2Sn: relaxed, PBE.

## Properties
Mass density ... 6379 kg/m³
Fermi-level density of states ... 4.31 states/eV/f.u.
Energy relative to the elements ... 0.40 eV per atom

a b c (Å): 9.7762 9.7762 9.7762
angles (deg): 156.88 156.88 32.93
Sites, in units of the cell vectors:
1 Ti 0.0000 0.0000 0.0000
2 Ti 0.7500 0.2500 0.5000
3 Mn 0.1165 0.6250 0.9915
4 Mn 0.3750 0.3665 0.4915
5 Mn 0.6335 0.1250 0.0085
6 Mn 0.8750 0.8835 0.5085
7 Sn 0.2500 0.7500 0.5000
8 Sn 0.5000 0.5000 0.0000